# 1
Material: Be4Te3
Method: DFT, GGA-PBEsol
State: optimized geometry

Cell lengths 5.3161, 5.3161, 5.3161 Å; angles 90.00, 90.00, 90.00 degrees
Last column: nearest neighbours and their distance in Å.
Sites, in units of the cell vectors:
Be 0.7752 0.7752 0.7752  3 Te 2.39
Be 0.2248 0.2248 0.7752  3 Te 2.39
Be 0.2248 0.7752 0.2248  3 Te 2.39
Be 0.7752 0.2248 0.2248  3 Te 2.39
Te 0.5000 0.0000 0.5000  4 Be 2.39
Te 0.5000 0.5000 0.0000  4 Be 2.39
Te 0.0000 0.5000 0.5000  4 Be 2.39

# 2
Material: BaZrO2F
Method: DFT, GGA-PBEsol
State: optimized geometry

Cell lengths 4.2204, 4.2204, 4.2822 Å; angles 90.00, 90.00, 90.00 degrees
Last column: nearest neighbours and their distance in Å.
Sites, in units of the cell vectors:
F 0.0000 0.0000 0.5000  2 Zr 2.14
O 0.0000 0.5000 0.0000  2 Zr 2.11
O 0.5000 0.0000 0.0000  2 Zr 2.11
Zr 0.0000 0.0000 0.0000  4 O 2.11, 2 F 2.14
Ba 0.5000 0.5000 0.5000  4 F 2.98, 8 O 3.01

# 3
Material: NbAsO4
Method: DFT, GGA-PBEsol
State: optimized geometry

Cell lengths 4.9218, 5.4587, 11.8324 Å; angles 90.00, 90.00, 90.00 degrees
Last column: nearest neighbours and their distance in Å.
Sites, in units of the cell vectors:
O 0.6683 0.3631 0.1648  2 As 1.89
O 0.6661 0.6694 0.3453  1 As 1.82, 1 Nb 1.94
O 0.2883 0.3489 0.4617  2 Nb 1.86-2.06
O 0.3339 0.3306 0.8453  1 As 1.82, 1 Nb 1.94
O 0.3100 0.0750 0.0634  2 Nb 1.91-2.09
O 0.8317 0.8631 0.1648  2 As 1.89
O 0.8339 0.1694 0.3453  1 As 1.82, 1 Nb 1.94
O 0.1661 0.8306 0.8453  1 As 1.82, 1 Nb 1.94
O 0.7883 0.1511 0.9617  2 Nb 1.86-2.06
O 0.3317 0.6369 0.6648  2 As 1.89
O 0.8100 0.4250 0.5634  2 Nb 1.91-2.09
O 0.6900 0.9250 0.5634  2 Nb 1.91-2.09
O 0.7117 0.6511 0.9617  2 Nb 1.86-2.06
O 0.1683 0.1369 0.6648  2 As 1.89
O 0.2117 0.8489 0.4617  2 Nb 1.86-2.06
O 0.1900 0.5750 0.0634  2 Nb 1.91-2.09
Nb 0.4788 0.3930 0.9953  4 O 1.86-2.06
Nb 0.9788 0.1070 0.4953  4 O 1.86-2.06
Nb 0.0212 0.8930 0.9953  4 O 1.86-2.06
Nb 0.5212 0.6070 0.4953  4 O 1.86-2.06
As 0.4158 0.9309 0.7416  3 O 1.82-1.89
As 0.5841 0.0691 0.2416  3 O 1.82-1.89
As 0.0842 0.4309 0.7416  3 O 1.82-1.89
As 0.9158 0.5691 0.2416  3 O 1.82-1.89

# 4
Material: ZrPdBr2
Method: DFT, GGA-PBEsol
State: optimized geometry

Cell lengths 6.0358, 6.0358, 6.0358 Å; angles 107.46, 107.46, 113.57 degrees
Last column: nearest neighbours and their distance in Å.
Sites, in units of the cell vectors:
Pd 0.2500 0.7500 0.5000  4 Br 2.62
Pd 0.0000 0.0000 0.0000  4 Br 2.62
Zr 0.5000 0.5000 0.0000  4 Br 2.69
Zr 0.7500 0.2500 0.5000  4 Br 2.69
Br 0.3679 0.3750 0.4929  2 Pd 2.62, 2 Zr 2.69
Br 0.8821 0.8750 0.5071  2 Pd 2.62, 2 Zr 2.69
Br 0.6250 0.1179 0.9929  2 Pd 2.62, 2 Zr 2.69
Br 0.1250 0.6321 0.0071  2 Pd 2.62, 2 Zr 2.69

# 5
Material: KAgIr3
Method: DFT, GGA-PBEsol
State: optimized geometry

Cell lengths 4.8584, 4.8584, 4.8584 Å; angles 90.00, 90.00, 90.00 degrees
Last column: nearest neighbours and their distance in Å.
Sites, in units of the cell vectors:
Ag 0.0000 0.0000 0.0000  6 Ir 2.43
Ir 0.0000 0.0000 0.5000  2 Ag 2.43
Ir 0.0000 0.5000 0.0000  2 Ag 2.43
Ir 0.5000 0.0000 0.0000  2 Ag 2.43
K 0.5000 0.5000 0.5000  12 Ir 3.44

**Formation energy from the elements**: 2.252 eV/atom

# 6
Material: MnAl2Au
Method: DFT, GGA-PBEsol
State: optimized geometry

Cell lengths 3.5503, 4.0112, 4.0118 Å; angles 90.00, 90.03, 90.00 degrees
Last column: nearest neighbours and their distance in Å.
Sites, in units of the cell vectors:
Mn 0.3750 0.5000 0.8750  8 Al 2.68, 4 Au 2.84
Al 0.8750 0.0000 0.8750  4 Au 2.68, 4 Mn 2.68, 4 Al 2.84
Al 0.8750 0.5000 0.3750  4 Mn 2.68, 4 Au 2.68, 4 Al 2.84
Au 0.3750 0.0000 0.3750  8 Al 2.68, 4 Mn 2.84

**Formation energy from the elements**: -0.283 eV/atom

# 7
Material: P2IrSe
Method: DFT, GGA-PBEsol
State: optimized geometry

Cell lengths 2.9095, 4.4573, 4.5236 Å; angles 90.00, 90.00, 90.00 degrees
Last column: nearest neighbours and their distance in Å.
Sites, in units of the cell vectors:
Se 0.5000 0.0000 0.5000  4 Ir 2.66, 4 P 2.69, 2 Se 2.91
P 0.5000 0.5000 0.0000  6 P 2.66-2.91, 4 Ir 2.69
P 0.0000 0.0000 0.0000  6 P 2.66-2.91, 4 Se 2.69
Ir 0.0000 0.5000 0.5000  4 Se 2.66, 4 P 2.69, 2 Ir 2.91

# 8
Material: SrTcNi2
Method: DFT, GGA-PBEsol
State: optimized geometry

Cell lengths 2.9634, 2.9634, 7.2477 Å; angles 90.00, 90.00, 90.00 degrees
Last column: nearest neighbours and their distance in Å.
Sites, in units of the cell vectors:
Ni 0.5000 0.5000 0.1778  4 Ni 2.42, 1 Tc 2.53
Ni 0.0000 0.0000 0.0100  4 Ni 2.42, 4 Tc 2.48
Sr 0.0000 0.0000 0.4839  4 Sr 2.96, 4 Ni 3.05, 4 Tc 3.26
Tc 0.5000 0.5000 0.8283  5 Ni 2.48-2.53

**Formation energy from the elements**: 0.500 eV/atom
**Energy above the most stable polymorph in this dataset**: 0.0 meV per atom

| no. | electronic total energy (eV/cell) | V (Å³/cell) | size of the total moment (μB/cell) |
| --- | --- | --- | --- |
| 1 | -25.164 | 150.24 | 0.00 |
| 2 | -38.896 | 76.27 | 0.00 |
| 3 | -194.296 | 317.89 | 0.00 |
| 4 | -38.522 | 168.61 | 0.13 |
| 5 | -22.657 | 114.68 | 2.56 |
| 6 | -22.999 | 57.13 | 2.44 |
| 7 | -23.267 | 58.66 | 0.00 |
| 8 | -23.421 | 63.65 | 0.00 |